A plane-wave DFT calculation with PBE-GGA was carried out for crystalline KNi4P at its relaxed geometry.

DFT formation energy, eV per atom: 0.52
Crystal system: cubic
Raw total energy, eV for the cell shown: -26.5

Cell: 4.9318 4.9318 4.9318 Å, 60.00 60.00 60.00°
Last column: nearest neighbours and their distance in Å.
Fractional coordinates of all 6 atoms:
1 Ni 0.8698 0.3767 0.3767  6 Ni 2.43-2.50
2 Ni 0.3767 0.8698 0.3767  6 Ni 2.43-2.50
3 Ni 0.3767 0.3767 0.3767  6 Ni 2.43-2.50
4 Ni 0.3767 0.3767 0.8698  6 Ni 2.43-2.50
5 P 0.7500 0.7500 0.7500  12 Ni 2.89, 4 K 3.02
6 K 0.0000 0.0000 0.0000  12 Ni 2.90, 4 P 3.02



A plane-wave DFT calculation with PBE-GGA was carried out for crystalline Pr8Ge3S4Cl at its relaxed geometry.

Crystal system: trigonal
Raw total energy, eV for the cell shown: -95.4

Cell: 8.4517 8.4082 8.4517 Å, 120.17 120.00 90.00°
Last column: nearest neighbours and their distance in Å.
Fractional coordinates of all 16 atoms:
1 S 0.0000 0.0000 0.0000  6 Pr 2.97-2.99
2 S 0.0000 0.0000 0.5000  6 Pr 2.97-2.99
3 S 0.5000 0.0000 0.0000  6 Pr 2.90
4 S 0.5000 0.0000 0.5000  6 Pr 2.97-2.99
5 Pr 0.7432 0.2443 0.4863  3 S 2.90-2.99, 2 Ge 2.97, 1 Cl 3.06
6 Pr 0.7509 0.7526 0.5017  3 S 2.97, 3 Ge 2.99
7 Pr 0.2568 0.7557 0.9989  3 S 2.90-2.99, 2 Ge 2.97, 1 Cl 3.06
8 Pr 0.2568 0.7557 0.5137  3 S 2.90-2.99, 2 Ge 2.97, 1 Cl 3.06
9 Pr 0.2491 0.2474 0.4983  3 S 2.97, 3 Ge 2.99
10 Pr 0.7421 0.7557 0.9989  3 S 2.90-2.99, 2 Ge 2.97, 1 Cl 3.06
11 Pr 0.7432 0.2443 0.0011  3 S 2.90-2.99, 2 Ge 2.97, 1 Cl 3.06
12 Pr 0.2579 0.2443 0.0011  3 S 2.90-2.99, 2 Ge 2.97, 1 Cl 3.06
13 Ge 0.5000 0.5000 0.5000  6 Pr 2.97-2.99
14 Ge 0.0000 0.5000 0.5000  6 Pr 2.97-2.99
15 Ge 0.5000 0.5000 0.0000  6 Pr 2.97-2.99
16 Cl 0.0000 0.5000 0.0000  6 Pr 3.06



A plane-wave DFT calculation with PBE-GGA was carried out for crystalline HoSiHg at its relaxed geometry.

Crystal system: orthorhombic
Raw total energy, eV for the cell shown: -23.7

Cell: 3.8502 4.1638 8.4238 Å, 75.69 90.00 90.00°
Last column: nearest neighbours and their distance in Å.
Fractional coordinates of all 6 atoms:
1 Si 0.2500 0.5439 0.9123  2 Si 2.40
2 Si 0.7500 0.4561 0.0877  2 Si 2.40
3 Ho 0.7500 0.0937 0.8126  6 Si 2.95-3.06, 1 Hg 3.17
4 Ho 0.2500 0.9063 0.1874  6 Si 2.95-3.06, 1 Hg 3.17
5 Hg 0.2500 0.7122 0.5756  1 Si 2.75
6 Hg 0.7500 0.2878 0.4244  1 Si 2.75



A plane-wave DFT calculation with PBE-GGA was carried out for crystalline FeNiSeBr2 at its relaxed geometry.

Crystal system: tetragonal
Raw total energy, eV for the cell shown: -18.6

Cell: 4.8188 4.8188 4.8735 Å, 90.00 90.00 90.00°
Last column: nearest neighbours and their distance in Å.
Fractional coordinates of all 5 atoms:
1 Br 0.5000 0.0000 0.0000  2 Ni 2.41
2 Br 0.0000 0.5000 0.0000  2 Ni 2.41
3 Fe 0.5000 0.5000 0.5000  4 Se 3.41, 8 Br 3.43
4 Ni 0.0000 0.0000 0.0000  4 Br 2.41, 2 Se 2.44
5 Se 0.0000 0.0000 0.5000  2 Ni 2.44



A plane-wave DFT calculation with PBE-GGA was carried out for crystalline NpCuPt6 at its relaxed geometry.

DFT formation energy, eV per atom: -0.37
Crystal system: tetragonal
Raw total energy, eV for the cell shown: -56.2

Cell: 4.0638 4.0638 7.9393 Å, 90.00 90.00 90.00°
Last column: nearest neighbours and their distance in Å.
Fractional coordinates of all 8 atoms:
1 Np 0.0000 0.0000 0.0000  12 Pt 2.87-2.90
2 Pt 0.5000 0.5000 0.5000  8 Pt 2.78, 4 Cu 2.87
3 Pt 0.5000 0.0000 0.7387  2 Cu 2.78, 8 Pt 2.78-2.90, 2 Np 2.90
4 Pt 0.5000 0.5000 0.0000  4 Np 2.87, 8 Pt 2.90
5 Pt 0.0000 0.5000 0.7387  2 Cu 2.78, 8 Pt 2.78-2.90, 2 Np 2.90
6 Pt 0.0000 0.5000 0.2613  2 Cu 2.78, 8 Pt 2.78-2.90, 2 Np 2.90
7 Pt 0.5000 0.0000 0.2613  2 Cu 2.78, 8 Pt 2.78-2.90, 2 Np 2.90
8 Cu 0.0000 0.0000 0.5000  12 Pt 2.78-2.87



A plane-wave DFT calculation with PBE-GGA was carried out for crystalline HfBiAsO5 at its relaxed geometry.

Crystal system: monoclinic
Raw total energy, eV for the cell shown: -118.3

Cell: 6.0025 6.0025 8.3755 Å, 110.88 110.88 100.17°
Last column: nearest neighbours and their distance in Å.
Fractional coordinates of all 16 atoms:
1 As 0.7020 0.2980 0.2500  2 O 1.78
2 As 0.2980 0.7020 0.7500  2 O 1.78
3 Hf 0.0000 0.0000 0.5000  6 O 2.05-2.14
4 Hf 0.0000 0.0000 0.0000  6 O 2.05-2.14
5 O 0.2316 0.3711 0.6202  1 As 1.78
6 O 0.1049 0.6711 0.9328  1 Hf 2.12, 1 As 2.26
7 O 0.3711 0.2316 0.1202  1 As 1.78
8 O 0.6711 0.1049 0.4328  1 Hf 2.12, 1 As 2.26
9 O 0.9532 0.0468 0.7500  2 Hf 2.14, 1 Bi 2.24
10 O 0.6289 0.7684 0.8798  1 As 1.78
11 O 0.8951 0.3289 0.0672  1 Hf 2.12, 1 As 2.26
12 O 0.3289 0.8951 0.5672  1 Hf 2.12, 1 As 2.26
13 O 0.7684 0.6289 0.3798  1 As 1.78
14 O 0.0468 0.9532 0.2500  2 Hf 2.14, 1 Bi 2.24
15 Bi 0.2901 0.7099 0.2500  5 O 2.24-2.49
16 Bi 0.7099 0.2901 0.7500  5 O 2.24-2.49



A plane-wave DFT calculation with PBE-GGA was carried out for crystalline MnZnPt2 at its relaxed geometry.

DFT formation energy, eV per atom: -0.25
Crystal system: cubic
Raw total energy, eV for the cell shown: -23.5

Cell: 4.4165 4.4165 4.4165 Å, 60.00 60.00 60.00°
Last column: nearest neighbours and their distance in Å.
Fractional coordinates of all 4 atoms:
1 Pt 0.2500 0.2500 0.2500  4 Pt 2.70, 4 Mn 2.70
2 Pt 0.0000 0.0000 0.0000  4 Pt 2.70, 4 Zn 2.70
3 Zn 0.7500 0.7500 0.7500  4 Mn 2.70, 4 Pt 2.70
4 Mn 0.5000 0.5000 0.5000  4 Zn 2.70, 4 Pt 2.70



A plane-wave DFT calculation with PBE-GGA was carried out for crystalline Gd2DyC at its relaxed geometry.

DFT formation energy, eV per atom: -0.05
Crystal system: trigonal
Raw total energy, eV for the cell shown: -42.2

Cell: 3.5609 3.5609 9.9208 Å, 79.66 79.66 60.00°
Last column: nearest neighbours and their distance in Å.
Fractional coordinates of all 4 atoms:
1 Gd 0.1196 0.1196 0.6411  3 C 2.47
2 Gd 0.8804 0.8804 0.3589  3 C 2.47
3 Dy 0.0000 0.0000 0.0000  2 Gd 3.48, 6 Dy 3.56
4 C 0.5000 0.5000 0.5000  6 Gd 2.47



A plane-wave DFT calculation with PBE-GGA was carried out for crystalline BaBe2Cu at its relaxed geometry.

DFT formation energy, eV per atom: 0.11
Crystal system: triclinic
Raw total energy, eV for the cell shown: -13.1

Cell: 5.7910 3.9716 3.9668 Å, 120.26 90.05 89.86°
Last column: nearest neighbours and their distance in Å.
Fractional coordinates of all 4 atoms:
1 Be 0.2504 0.7787 0.4979  3 Be 2.25-2.36, 3 Cu 2.26-2.35
2 Be 0.2499 0.1234 0.1566  3 Be 2.25-2.36, 3 Cu 2.26-2.34
3 Ba 0.7500 0.1348 0.5060  2 Cu 3.18, 4 Be 3.20-3.22
4 Cu 0.2497 0.4631 0.8394  6 Be 2.26-2.35



A plane-wave DFT calculation with PBE-GGA was carried out for crystalline TmPu3Tl3Se8 at its relaxed geometry.

Crystal system: trigonal
Raw total energy, eV for the cell shown: -100.6

Cell: 8.3569 8.3577 9.1293 Å, 117.28 90.00 120.00°
Last column: nearest neighbours and their distance in Å.
Fractional coordinates of all 15 atoms:
1 Se 0.2657 0.5314 0.2974  3 Pu 2.88
2 Se 0.7343 0.4686 0.7026  3 Pu 2.88
3 Se 0.2641 0.0319 0.2999  1 Tm 2.85, 2 Pu 2.88
4 Se 0.7678 0.0319 0.2999  1 Tm 2.85, 2 Pu 2.88
5 Se 0.7359 0.9681 0.7001  1 Tm 2.85, 2 Pu 2.88
6 Se 0.2323 0.4646 0.7002  1 Tm 2.85, 2 Pu 2.87
7 Se 0.2322 0.9681 0.7001  1 Tm 2.85, 2 Pu 2.88
8 Se 0.7677 0.5354 0.2998  1 Tm 2.85, 2 Pu 2.87
9 Pu 0.5000 0.5000 0.5000  6 Se 2.87-2.88
10 Pu 0.0000 0.5000 0.5000  6 Se 2.87-2.88
11 Pu 0.5000 0.0000 0.5000  6 Se 2.88
12 Tl 0.0000 0.5000 0.0000  6 Se 3.34
13 Tl 0.5000 0.5000 0.0000  6 Se 3.34
14 Tl 0.0000 0.0000 0.0000  6 Se 3.33-3.34
15 Tm 0.0000 0.0000 0.5000  6 Se 2.85



A plane-wave DFT calculation with PBE-GGA was carried out for crystalline Ho3ZnRh at its relaxed geometry.

DFT formation energy, eV per atom: -0.51
Crystal system: monoclinic
Raw total energy, eV for the cell shown: -49.8

Cell: 5.6300 5.6300 9.3019 Å, 65.30 65.30 67.47°
Last column: nearest neighbours and their distance in Å.
Fractional coordinates of all 10 atoms:
1 Ho 0.9218 0.9218 0.2920  2 Rh 2.89, 2 Zn 3.05
2 Ho 0.6954 0.6954 0.1091  4 Rh 2.95
3 Ho 0.7135 0.7135 0.7066  2 Rh 2.90, 2 Zn 3.05
4 Ho 0.2865 0.2865 0.2934  2 Rh 2.90, 2 Zn 3.05
5 Ho 0.3046 0.3046 0.8909  4 Rh 2.95
6 Ho 0.0782 0.0782 0.7080  2 Rh 2.89, 2 Zn 3.05
7 Rh 0.7498 0.2502 0.0000  8 Ho 2.89-2.95, 2 Rh 3.12-3.13
8 Rh 0.2502 0.7498 0.0000  8 Ho 2.89-2.95, 2 Rh 3.12-3.13
9 Zn 0.6961 0.3039 0.5000  1 Zn 2.45
10 Zn 0.3039 0.6961 0.5000  1 Zn 2.45



A plane-wave DFT calculation with PBE-GGA was carried out for crystalline LiInGaAg2 at its relaxed geometry.

DFT formation energy, eV per atom: -0.12
Crystal system: monoclinic
Raw total energy, eV for the cell shown: -27.9

Cell: 4.8907 5.0984 7.7602 Å, 72.72 90.00 90.00°
Last column: nearest neighbours and their distance in Å.
Fractional coordinates of all 10 atoms:
1 Li 0.7500 0.3533 0.6086  6 Ag 2.86-2.98, 3 In 2.87-2.90, 1 Ga 2.89, 2 Li 3.09
2 Li 0.2500 0.6467 0.3914  6 Ag 2.86-2.98, 3 In 2.87-2.90, 1 Ga 2.89, 2 Li 3.09
3 Ga 0.7500 0.1596 0.9985  5 Ag 2.81-3.08, 1 Li 2.89, 2 Ga 2.93, 4 In 2.97-3.11
4 Ga 0.2500 0.8404 0.0015  5 Ag 2.81-3.08, 1 Li 2.89, 2 Ga 2.93, 4 In 2.97-3.11
5 In 0.2500 0.4572 0.7787  5 Ag 2.87-3.12, 3 Li 2.87-2.90, 4 Ga 2.97-3.11
6 In 0.7500 0.5428 0.2213  5 Ag 2.87-3.12, 3 Li 2.87-2.90, 4 Ga 2.97-3.11
7 Ag 0.2500 0.2205 0.1992  4 Ga 2.81-3.08, 2 Li 2.86-2.98, 3 Ag 2.90-3.03, 3 In 2.98-3.12
8 Ag 0.7500 0.9502 0.4091  2 In 2.87-2.94, 5 Ag 2.90-3.03, 4 Li 2.92-2.98, 1 Ga 3.04
9 Ag 0.2500 0.0498 0.5909  2 In 2.87-2.94, 5 Ag 2.90-3.03, 4 Li 2.92-2.98, 1 Ga 3.04
10 Ag 0.7500 0.7795 0.8008  4 Ga 2.81-3.08, 2 Li 2.86-2.98, 3 Ag 2.90-3.03, 3 In 2.98-3.12